Ba2MnTe | the Alexandria database | PBE | relaxed; space group = P4/mmm; formation energy (no corrections) = -0.40 eV per atom; density of states at the Fermi level = 3.4 states/eV/cell; ρ = 5.04 g/cm³; uncorrected energy = -4.44 eV per atom
1.0
4.3096 0.0000 0.0000
0.0000 4.3096 0.0000
0.0000 0.0000 8.1070
Ba Mn Te
2 1 1
Direct
0.0000 0.0000 0.2450 Ba
0.0000 0.0000 0.7550 Ba
0.5000 0.5000 0.5000 Mn
0.5000 0.5000 0.0000 Te